The following is a DFT calculation (PBE) of a relaxed structure of Ca2TcGeO6.

Cell: 5.520 5.520 3.822 Å, 90.00 90.00 90.00°
Space group P4mm (No. 99)
Asymmetric unit:
Ca 0.000 0.500 0.000
Tc 0.000 0.000 0.538
Ge 0.500 0.500 0.534
O 0.000 0.000 0.040
O 0.259 0.259 0.559
O 0.500 0.500 0.045

Calculated values
The value obtained for the raw formation energy is -2.029 eV/atom. Its total magnetization is 0.931 Bohr magnetons per cell.